# Nb2Mo6Ru (PBE, optimized geometry)
# DFT formation energy	384	meV per atom
# total magnetic moment	0.000	μB per atom
# VASP energy	-10.105	eV/atom
# crystal system	triclinic
data_Nb2Mo6Ru
_chemical_formula_sum 'Nb2 Mo6 Ru1'
_cell_length_a 4.5720
_cell_length_b 5.3287
_cell_length_c 6.8612
_cell_angle_alpha 79.27
_cell_angle_beta 70.60
_cell_angle_gamma 89.81
_space_group_name_H-M_alt 'P 1'
_space_group_IT_number 1
loop_
_space_group_symop_operation_xyz
'x,y,z'
loop_
_atom_site_label
_atom_site_fract_x
_atom_site_fract_y
_atom_site_fract_z
Nb1 0.1046 0.4944 0.2903
Nb2 0.8954 0.5056 0.7097
Mo1 0.2898 0.3324 0.9215
Mo2 0.3092 0.8562 0.8790
Mo3 0.4981 0.2571 0.5043
Mo4 0.5019 0.7429 0.4957
Mo5 0.6908 0.1438 0.1210
Mo6 0.7102 0.6676 0.0785
Ru1 0.0000 0.0000 0.5000